No. 1
Compound: AcYMgGe
Source: Alexandria
Functional: GGA-PBE
Structure: optimized geometry

a b c (Å): 7.642 7.642 7.642
angles (deg): 90.00 90.00 90.00
Space group F-43m (No. 216)
Asymmetric unit:
1 Ac 0.000 0.000 0.000
2 Y 0.000 0.000 0.500
3 Mg 0.250 0.250 0.250
4 Ge 0.250 0.250 0.750

Output
The volume is 446.3 Å³/cell. The energy of formation is -0.29 eV/atom. The crystal system is cubic.

No. 2
Compound: AlPtS3
Source: Alexandria
Functional: GGA-PBE
Structure: optimized geometry

a b c (Å): 4.716 4.716 4.716
angles (deg): 90.00 90.00 90.00
Space group Pm-3m (No. 221)
Asymmetric unit:
1 Al 0.000 0.000 0.000
2 Pt 0.500 0.500 0.500
3 S 0.000 0.500 0.500

Output
The volume is 104.9 Å³/cell. As for the formation energy from raw total energies: 46.2 kJ/mol of atoms. The value obtained for the offset from the most stable computed form is 0.000 eV per atom. The crystal system is cubic.